(i)
YNb2Si2: relaxed, PBE-GGA.

D(E_F) = 0.6561 states/eV per atom

```
YNb2Si2
1.0
-2.8538 0.4402 -3.8639
-3.8305 -1.1460 2.6986
-3.9450 3.8339 0.3396
Y Nb Si
1 2 2
Direct
0.0000 0.0000 0.0000
0.3492 0.3492 0.3015
0.6508 0.6508 0.6985
0.7500 0.2500 0.5000
0.2500 0.7500 0.5000
```

---

(ii)
YNb2Si2: relaxed, PBE-GGA.

D(E_F) = 0.4666 states/eV per atom

```
YNb2Si2
1.0
4.0234 0.0000 0.0000
0.0000 4.0234 0.0000
2.0117 2.0117 5.8472
Y Nb Si
1 2 2
Direct
0.0000 0.0000 0.0000
0.7500 0.2500 0.5000
0.2500 0.7500 0.5000
0.3985 0.3985 0.2031
0.6015 0.6015 0.7969
```

---

(iii)
YNb2Si2: relaxed, PBE-GGA.

D(E_F) = 0.5873 states/eV per atom

```
YNb2Si2
1.0
-2.9240 6.5212 0.2572
-4.8379 -1.9767 -4.8815
-2.1356 -1.0580 2.5450
Y Nb Si
2 4 4
Direct
0.0000 0.0000 0.0000
0.5000 0.5000 0.0000
0.1667 0.6667 0.5000
0.6667 0.8333 0.5000
0.8333 0.3333 0.5000
0.3333 0.1667 0.5000
0.3782 0.8782 0.0000
0.8782 0.6218 0.0000
0.6218 0.1218 0.0000
0.1218 0.3782 0.0000
```

---

Stability ranking, top and bottom: (ii) is the most stable and (i) is the least stable.

---

(i)
YNb3Si: relaxed, PBE-GGA.

D(E_F) = 1.0022 states/eV per atom

```
YNb3Si
1.0
4.9028 0.0000 0.0000
0.0000 4.9028 0.0000
0.0000 0.0000 4.9028
Y Nb Si
1 3 1
Direct
0.0000 0.0000 0.0000
0.0000 0.5000 0.0000
0.0000 0.0000 0.5000
0.5000 0.0000 0.0000
0.5000 0.5000 0.5000
```

---

(ii)
YNb3Si: relaxed, PBE-GGA.

D(E_F) = 1.3460 states/eV per atom

```
YNb3Si
1.0
4.8035 0.0000 0.0000
0.0000 4.8035 0.0000
0.0000 0.0000 4.8035
Y Nb Si
1 3 1
Direct
0.5000 0.5000 0.5000
0.0000 0.5000 0.0000
0.0000 0.0000 0.5000
0.5000 0.0000 0.0000
0.0000 0.0000 0.0000
```

---

Stability ranking, top and bottom: (ii) is the most stable and (i) is the least stable.

---

(i)
Y3NbSi: relaxed, PBE-GGA.

D(E_F) = 1.1037 states/eV per atom

```
Y3NbSi
1.0
5.3660 0.0000 0.0000
0.0000 5.3660 0.0000
0.0000 0.0000 5.3660
Y Nb Si
3 1 1
Direct
0.0000 0.5000 0.0000
0.0000 0.0000 0.5000
0.5000 0.0000 0.0000
0.5000 0.5000 0.5000
0.0000 0.0000 0.0000
```

---

(ii)
Y3NbSi: relaxed, PBE-GGA.

D(E_F) = 0.7350 states/eV per atom

```
Y3NbSi
1.0
5.3178 0.0000 0.0000
0.0000 5.3178 0.0000
0.0000 0.0000 5.3178
Y Nb Si
3 1 1
Direct
0.0000 0.5000 0.0000
0.0000 0.0000 0.5000
0.5000 0.0000 0.0000
0.0000 0.0000 0.0000
0.5000 0.5000 0.5000
```

---

Stability ranking, top and bottom: (i) is the most stable and (ii) is the least stable.

---

(i)
NbZn3Si: relaxed, PBE-GGA.

D(E_F) = 0.9571 states/eV per atom

```
NbZn3Si
1.0
-1.4628 4.7316 0.6191
-3.5339 -1.5093 3.1851
3.2067 0.4952 3.7925
Nb Si Zn
1 1 3
Direct
0.0000 0.0000 0.0000
0.5000 0.5000 0.5000
0.0000 0.5000 0.0000
0.0000 0.0000 0.5000
0.5000 0.0000 0.0000
```

---

(ii)
NbZn3Si: relaxed, PBE-GGA.

D(E_F) = 0.8775 states/eV per atom

```
NbZn3Si
1.0
4.5194 0.0000 0.0000
0.0000 4.5194 0.0000
0.0000 0.0000 4.5194
Nb Si Zn
1 1 3
Direct
0.5000 0.5000 0.5000
0.0000 0.0000 0.0000
0.0000 0.5000 0.0000
0.0000 0.0000 0.5000
0.5000 0.0000 0.0000
```

---

Stability ranking, top and bottom: (ii) is the most stable and (i) is the least stable.

---

(i)
ZrNb3Si: relaxed, PBE-GGA.

D(E_F) = 1.3329 states/eV per atom

```
ZrNb3Si
1.0
-1.7360 2.1879 3.8036
2.1201 -3.1631 2.7871
3.8418 2.7343 0.1807
Nb Si Zr
3 1 1
Direct
0.0000 0.5000 0.0000
0.0000 0.0000 0.5000
0.5000 0.0000 0.0000
0.0000 0.0000 0.0000
0.5000 0.5000 0.5000
```

---

(ii)
ZrNb3Si: relaxed, PBE-GGA.

D(E_F) = 1.0887 states/eV per atom

```
ZrNb3Si
1.0
-3.8966 2.2891 1.8502
-2.9399 -3.1751 -2.2633
0.1421 -2.9199 3.9117
Nb Si Zr
3 1 1
Direct
0.0000 0.5000 0.0000
0.0000 0.0000 0.5000
0.5000 0.0000 0.0000
0.5000 0.5000 0.5000
0.0000 0.0000 0.0000
```

---

Stability ranking, top and bottom: (i) is the most stable and (ii) is the least stable.

---

(i)
Nb4Sn: relaxed, PBE-GGA.

D(E_F) = 1.0415 states/eV per atom

```
Nb4Sn
1.0
-2.0392 0.8152 -1.9285
-5.3424 -1.1492 0.7335
4.3842 5.5523 5.4482
Nb Sn
4 1
Direct
0.7013 0.7949 0.0900
0.2987 0.2051 0.9100
0.8736 0.6045 0.7073
0.1264 0.3955 0.2927
0.5000 0.0000 0.5000
```

---

(ii)
Nb4Sn: relaxed, PBE-GGA.

D(E_F) = 0.6786 states/eV per atom

```
Nb4Sn
1.0
4.9607 2.2956 0.0000
0.0882 5.4443 0.0000
0.0000 0.0000 7.3925
Nb Sn
8 2
Direct
0.8694 0.5633 0.6568
0.1306 0.9367 0.6568
0.2497 0.1959 0.0107
0.7503 0.3041 0.0107
0.7503 0.8041 0.9893
0.2497 0.6959 0.9893
0.8694 0.0633 0.3432
0.1306 0.4367 0.3432
0.5000 0.7500 0.3366
0.5000 0.2500 0.6634
```

---

Stability ranking, top and bottom: (i) is the most stable and (ii) is the least stable.

---

(i)
Sr2NbSn2: relaxed, PBE-GGA.

D(E_F) = 0.5844 states/eV per atom

```
Sr2NbSn2
1.0
7.7727 0.0000 0.0000
0.0000 7.7727 0.0000
0.0000 0.0000 5.1247
Sr Nb Sn
4 2 4
Direct
0.1710 0.6710 0.5000
0.6710 0.8290 0.5000
0.8290 0.3290 0.5000
0.3290 0.1710 0.5000
0.0000 0.0000 0.0000
0.5000 0.5000 0.0000
0.3612 0.8612 0.0000
0.8612 0.6388 0.0000
0.6388 0.1388 0.0000
0.1388 0.3612 0.0000
```

---

(ii)
Sr2NbSn2: relaxed, PBE-GGA.

D(E_F) = 0.7312 states/eV per atom

```
Sr2NbSn2
1.0
-0.3523 4.2441 -0.8647
-0.5447 -0.9041 -4.2155
-7.8384 1.2687 -1.4991
Sr Nb Sn
2 1 2
Direct
0.7500 0.2500 0.5000
0.2500 0.7500 0.5000
0.0000 0.0000 0.0000
0.4099 0.4099 0.1801
0.5901 0.5901 0.8199
```

---

Stability ranking, top and bottom: (i) is the most stable and (ii) is the least stable.

---

(i)
Sr3NbSn: relaxed, PBE-GGA.

D(E_F) = 0.5326 states/eV per atom

```
Sr3NbSn
1.0
-0.5637 -5.0185 3.7062
6.2222 -0.1815 0.7006
-0.4539 3.7444 5.0012
Sr Nb Sn
3 1 1
Direct
0.0000 0.5000 0.0000
0.0000 0.0000 0.5000
0.5000 0.0000 0.0000
0.5000 0.5000 0.5000
0.0000 0.0000 0.0000
```

---

(ii)
Sr3NbSn: relaxed, PBE-GGA.

D(E_F) = 1.5275 states/eV per atom

```
Sr3NbSn
1.0
-5.5786 -0.4623 -1.5511
0.1382 -5.6824 1.1965
-1.6126 1.1122 5.4684
Sr Nb Sn
3 1 1
Direct
0.0000 0.5000 0.0000
0.0000 0.0000 0.5000
0.5000 0.0000 0.0000
0.0000 0.0000 0.0000
0.5000 0.5000 0.5000
```

---

Stability ranking, top and bottom: (i) is the most stable and (ii) is the least stable.